No. 1
Computed, not measured: an optimized crystal structure of ScRe2P at the GGA-PBE level of DFT.

Output
energy of formation from the pure elements	63	meV per atom

Lattice parameters (Å, degrees): 8.2425 8.2425 8.2425 21.01 21.01 21.01
Atoms (fractional coordinates):
Sc: 0.0000 0.0000 0.0000
Re: 0.2379 0.2379 0.2379
Re: 0.7621 0.7621 0.7621
P: 0.5000 0.5000 0.5000

No. 2
Computed, not measured: an optimized crystal structure of ScReP at the GGA-PBE level of DFT.

Output
energy of formation from the pure elements	-267	meV per atom
E above lowest polymorph	267	meV per atom

Lattice parameters (Å, degrees): 4.1493 4.1493 4.1493 60.00 60.00 60.00
Atoms (fractional coordinates):
Sc: 0.0000 0.0000 0.0000
Re: 0.5000 0.5000 0.5000
P: 0.7500 0.7500 0.7500

No. 3
Computed, not measured: an optimized crystal structure of ScRe2P at the GGA-PBE level of DFT.

Output
energy of formation from the pure elements	152	meV per atom

Lattice parameters (Å, degrees): 4.4400 4.4400 4.4400 60.00 60.00 60.00
Atoms (fractional coordinates):
Sc: 0.0000 0.0000 0.0000
Re: 0.5000 0.5000 0.5000
Re: 0.7500 0.7500 0.7500
P: 0.2500 0.2500 0.2500

No. 4
Computed, not measured: an optimized crystal structure of Sc3ReP at the GGA-PBE level of DFT.

Output
energy of formation from the pure elements	343	meV per atom
E above lowest polymorph	200	meV per atom

Lattice parameters (Å, degrees): 4.9670 4.9670 4.9670 90.00 90.00 90.00
Atoms (fractional coordinates):
Sc: 0.0000 0.0000 0.5000
Sc: 0.0000 0.5000 0.0000
Sc: 0.5000 0.0000 0.0000
Re: 0.0000 0.0000 0.0000
P: 0.5000 0.5000 0.5000

No. 5
Computed, not measured: an optimized crystal structure of ScReP at the GGA-PBE level of DFT.

Output
energy of formation from the pure elements	699	meV per atom
E above lowest polymorph	1232	meV per atom

Lattice parameters (Å, degrees): 4.3047 4.3047 4.3047 60.00 60.00 60.00
Atoms (fractional coordinates):
Sc: 0.0000 0.0000 0.0000
Re: 0.2500 0.2500 0.2500
P: 0.7500 0.7500 0.7500

No. 6
Computed, not measured: an optimized crystal structure of ScRe2P at the GGA-PBE level of DFT.

Output
energy of formation from the pure elements	-93	meV per atom

Lattice parameters (Å, degrees): 5.2307 5.2307 4.2998 113.66 113.66 34.74
Atoms (fractional coordinates):
Sc: 0.0000 0.0000 0.0000
Re: 0.5160 0.5160 0.5159
Re: 0.7688 0.7688 0.2886
P: 0.2314 0.2314 0.6959

No. 7
Computed, not measured: an optimized crystal structure of ScRe2P at the GGA-PBE level of DFT.

Output
energy of formation from the pure elements	-22	meV per atom

Lattice parameters (Å, degrees): 2.9559 4.5660 4.7000 90.00 90.89 90.00
Atoms (fractional coordinates):
Sc: 0.0000 0.0000 0.0000
Re: 0.3398 0.5000 0.7489
Re: 0.6602 0.5000 0.2511
P: 0.5000 0.0000 0.5000

No. 8
Computed, not measured: an optimized crystal structure of ScReP at the GGA-PBE level of DFT.

Output
energy of formation from the pure elements	-135	meV per atom
E above lowest polymorph	399	meV per atom

Lattice parameters (Å, degrees): 6.3944 6.1362 2.9678 81.20 71.50 27.30
Atoms (fractional coordinates):
Sc: 0.0000 0.0000 0.0000
Re: 0.3098 0.3098 0.6902
P: 0.6675 0.6675 0.3325

No. 9
Computed, not measured: an optimized crystal structure of ScRe2P at the GGA-PBE level of DFT.

Output
energy of formation from the pure elements	-46	meV per atom

Lattice parameters (Å, degrees): 2.9675 2.9675 7.0708 90.00 90.00 90.00
Atoms (fractional coordinates):
Sc: 0.0000 0.0000 0.0000
Re: 0.5000 0.5000 0.3061
Re: 0.5000 0.5000 0.6939
P: 0.0000 0.0000 0.5000

No. 10
Computed, not measured: an optimized crystal structure of Sc4ReP at the GGA-PBE level of DFT.

Output
energy of formation from the pure elements	561	meV per atom

Lattice parameters (Å, degrees): 5.4664 5.4664 5.4664 60.00 60.00 60.00
Atoms (fractional coordinates):
Sc: 0.3772 0.3772 0.3772
Sc: 0.3772 0.3772 0.8685
Sc: 0.3772 0.8685 0.3772
Sc: 0.8685 0.3772 0.3772
Re: 0.7500 0.7500 0.7500
P: 0.0000 0.0000 0.0000

No. 11
Computed, not measured: an optimized crystal structure of ScRe2P at the GGA-PBE level of DFT.

Output
energy of formation from the pure elements	-27	meV per atom

Lattice parameters (Å, degrees): 8.2650 8.2650 8.2650 21.20 21.20 21.20
Atoms (fractional coordinates):
Sc: 0.0000 0.0000 0.0000
Re: 0.2441 0.2441 0.2441
Re: 0.4896 0.4896 0.4896
P: 0.7563 0.7563 0.7563

No. 12
Computed, not measured: an optimized crystal structure of Sc3ReP at the GGA-PBE level of DFT.

Output
energy of formation from the pure elements	143	meV per atom
E above lowest polymorph	0	meV per atom

Lattice parameters (Å, degrees): 4.7696 4.7696 4.7696 90.00 90.00 90.00
Atoms (fractional coordinates):
Sc: 0.0000 0.0000 0.5000
Sc: 0.0000 0.5000 0.0000
Sc: 0.5000 0.0000 0.0000
Re: 0.5000 0.5000 0.5000
P: 0.0000 0.0000 0.0000